(1)
DFT (GGA-PBE) results for crystalline ScVCr at its relaxed geometry.

Cell: 5.666 4.309 9.545 Å, 90.00 124.20 90.00°
Fractional positions:
Sc 0.513 0.000 0.246
Sc 0.690 0.500 0.095
Sc 0.513 0.500 0.746
Sc 0.690 0.000 0.595
Cr 0.056 0.000 0.267
Cr 0.301 0.000 0.885
Cr 0.301 0.500 0.385
Cr 0.056 0.500 0.767
V 0.903 0.000 0.958
V 0.131 0.500 0.048
V 0.131 0.000 0.548
V 0.903 0.500 0.458

## Properties
Energy above the lowest structure with this stoichiometry   0.094 eV per atom
Formation energy   0.23 eV/atom
SG   Cm, No. 8
E_tot   -8.126 eV/atom
ρ   5.1 g/cm³

(2)
DFT (GGA-PBE) results for crystalline ScVCr at its relaxed geometry.

Cell: 5.377 3.639 10.179 Å, 90.00 92.00 90.00°
Fractional positions:
Cr 0.104 0.500 0.219
Cr 0.336 0.000 0.265
Cr 0.104 0.000 0.719
Cr 0.336 0.500 0.765
Sc 0.870 0.000 0.421
Sc 0.353 0.500 0.497
Sc 0.870 0.500 0.921
Sc 0.353 0.000 0.997
V 0.852 0.500 0.637
V 0.852 0.000 0.137
V 0.613 0.000 0.739
V 0.613 0.500 0.239

## Properties
Energy above the lowest structure with this stoichiometry   0.034 eV per atom
Formation energy   0.17 eV/atom
SG   Cm, No. 8
E_tot   -8.187 eV/atom
ρ   4.9 g/cm³